VASP calculation (GGA+U) on a relaxed structure of RbBa2CoO4.

Spin magnetization, Bohr magnetons per cell: 8.1
E_tot, eV/atom: -5.53

```
RbBa2CoO4
1.0
3.7497 0.0000 0.0000
-1.8748 6.8373 0.0000
0.0000 0.0000 13.0671
Rb O Ba Co
2 8 4 2
Direct
0.0825 0.1650 0.7500
0.9175 0.8350 0.2500
0.2593 0.5185 0.1271
0.7407 0.4815 0.8729
0.2593 0.5185 0.3729
0.0000 0.0000 0.5000
0.6256 0.2512 0.2500
0.0000 0.0000 0.0000
0.3744 0.7488 0.7500
0.7407 0.4815 0.6271
0.3716 0.7432 0.9577
0.3716 0.7432 0.5423
0.6284 0.2568 0.0423
0.6284 0.2568 0.4577
0.1999 0.3997 0.2500
0.8001 0.6003 0.7500
```